[1]
# Ta2Ti5ZnCo2 (PBE, optimized geometry)
# Volume in Å³/atom: 15.859
# Magnetization in μB/f.u.: 0.00
# E_form in eV/atom: -0.15
data_Ta2Ti5ZnCo2
_cell_length_a 10.207
_cell_length_b 10.207
_cell_length_c 3.045
_cell_angle_alpha 90.00
_cell_angle_beta 90.00
_cell_angle_gamma 90.00
_symmetry_space_group_name_H-M 'P 4/m b m'
_symmetry_Int_Tables_number 127
_symmetry_space_group_name_Hall '-P 4 2ab'
loop_
_atom_site_label
_atom_site_fract_x
_atom_site_fract_y
_atom_site_fract_z
Ta1 0.175 0.325 0.000
Ti1 0.000 0.500 0.500
Ti2 0.063 0.794 0.500
Zn1 0.000 0.000 0.000
Co1 0.128 0.628 0.000

[2]
# Zr2TaTi2Co5 (PBE, optimized geometry)
# Volume in Å³/atom: 14.775
# Magnetization in μB/f.u.: 0.00
# E_form in eV/atom: -0.15
data_Zr2TaTi2Co5
_cell_length_a 9.637
_cell_length_b 9.637
_cell_length_c 3.182
_cell_angle_alpha 90.00
_cell_angle_beta 90.00
_cell_angle_gamma 90.00
_symmetry_space_group_name_H-M 'P 4/m b m'
_symmetry_Int_Tables_number 127
_symmetry_space_group_name_Hall '-P 4 2ab'
loop_
_atom_site_label
_atom_site_fract_x
_atom_site_fract_y
_atom_site_fract_z
Zr1 0.178 0.322 0.000
Ta1 0.000 0.000 0.000
Ti1 0.127 0.627 0.000
Co1 0.000 0.500 0.500
Co2 0.037 0.798 0.500

[3]
# TaTl2Co (PBE, optimized geometry)
# Volume in Å³/atom: 19.362
# Magnetization in μB/f.u.: 0.00
# E_form in eV/atom: 0.89
data_TaTl2Co
_cell_length_a 6.766
_cell_length_b 6.766
_cell_length_c 6.766
_cell_angle_alpha 90.00
_cell_angle_beta 90.00
_cell_angle_gamma 90.00
_symmetry_space_group_name_H-M 'F -4 3 m'
_symmetry_Int_Tables_number 216
_symmetry_space_group_name_Hall 'F -4 2 3'
loop_
_atom_site_label
_atom_site_fract_x
_atom_site_fract_y
_atom_site_fract_z
Ta1 0.000 0.000 0.000
Tl1 0.000 0.000 0.500
Tl2 0.250 0.250 0.750
Co1 0.250 0.250 0.250